The following is a DFT calculation (PBE) of an optimized crystal structure of Ba2MgCd6. Values from VASP.

Results
- total magnetization (μB/atom) = 0.00
- DFT formation energy (kcal/mol of atoms) = -5.8
- electronic total energy (eV per cell) = -13.2
- space-group type = No. 164
- crystal system = trigonal

```
&SYSTEM
  ibrav = 0, nat = 9, ntyp = 3
/
ATOMIC_SPECIES
Ba 137.33 Ba.upf
Mg 24.30 Mg.upf
Cd 112.41 Cd.upf
ATOMIC_POSITIONS angstrom
Ba 0.000 3.841 0.995
Ba 3.327 1.921 5.925
Mg 0.000 0.000 0.000
Cd 0.000 2.013 4.582
Cd -1.583 4.755 4.582
Cd 1.744 1.007 2.338
Cd 1.583 4.755 4.582
Cd 4.910 1.007 2.338
Cd 3.327 3.749 2.338
CELL_PARAMETERS angstrom
6.653 0.000 0.000
-3.327 5.762 0.000
0.000 0.000 6.920
```

---

The following is a DFT calculation (PBE) of an optimized crystal structure of SrTcN2. Values from VASP.

Results
- total magnetization (μB/atom) = 0.00
- electronic total energy (eV per cell) = -120.7
- raw formation energy (eV/atom) = -0.367
- space-group type = No. 122
- crystal system = tetragonal
- energy above the lowest structure with this stoichiometry (meV/atom) = 115

```
&SYSTEM
  ibrav = 0, nat = 16, ntyp = 3
/
ATOMIC_SPECIES
Sr 87.62 Sr.upf
Tc 98.00 Tc.upf
N 14.01 N.upf
ATOMIC_POSITIONS angstrom
Sr 0.000 0.000 0.000
Sr 0.000 2.544 2.562
Sr 2.544 0.000 7.686
Sr 2.544 2.544 5.124
Tc 0.000 0.000 5.124
Tc 0.000 2.544 7.686
Tc 2.544 0.000 2.562
Tc 2.544 2.544 0.000
N 0.688 1.272 6.405
N 1.272 3.232 8.967
N 1.272 4.400 3.843
N 1.856 1.272 1.281
N 3.232 3.816 1.281
N 3.816 0.688 3.843
N 3.816 1.856 8.967
N 4.400 3.816 6.405
CELL_PARAMETERS angstrom
5.088 0.000 0.000
0.000 5.088 0.000
0.000 0.000 10.248
```

---

The following is a DFT calculation (PBE) of an optimized crystal structure of Ca2In2SnRh5. Values from VASP.

Results
- total magnetization (μB/atom) = 0.00
- DFT formation energy (kcal/mol of atoms) = -8.9
- electronic total energy (eV per cell) = -108.2
- space-group type = No. 127
- crystal system = tetragonal

```
&SYSTEM
  ibrav = 0, nat = 20, ntyp = 4
/
ATOMIC_SPECIES
Ca 40.08 Ca.upf
In 114.82 In.upf
Sn 118.71 Sn.upf
Rh 102.91 Rh.upf
ATOMIC_POSITIONS angstrom
Ca 1.741 3.414 0.000
Ca 3.414 8.568 0.000
Ca 6.895 1.741 0.000
Ca 8.568 6.895 0.000
In 1.351 6.505 0.000
In 3.803 1.351 0.000
In 6.505 8.957 0.000
In 8.957 3.803 0.000
Sn 0.000 0.000 0.000
Sn 5.154 5.154 0.000
Rh 0.000 5.154 1.820
Rh 0.618 8.327 1.820
Rh 1.981 0.618 1.820
Rh 3.173 5.772 1.820
Rh 4.536 3.173 1.820
Rh 5.154 0.000 1.820
Rh 5.772 7.135 1.820
Rh 7.135 4.536 1.820
Rh 8.327 9.691 1.820
Rh 9.691 1.981 1.820
CELL_PARAMETERS angstrom
10.308 0.000 0.000
0.000 10.308 0.000
0.000 0.000 3.640
```

---

Repeat the second record exactly.
The following is a DFT calculation (PBE) of an optimized crystal structure of SrTcN2. Values from VASP.

Results
- total magnetization (μB/atom) = 0.00
- electronic total energy (eV per cell) = -120.7
- raw formation energy (eV/atom) = -0.367
- space-group type = No. 122
- crystal system = tetragonal
- energy above the lowest structure with this stoichiometry (meV/atom) = 115

```
&SYSTEM
  ibrav = 0, nat = 16, ntyp = 3
/
ATOMIC_SPECIES
Sr 87.62 Sr.upf
Tc 98.00 Tc.upf
N 14.01 N.upf
ATOMIC_POSITIONS angstrom
Sr 0.000 0.000 0.000
Sr 0.000 2.544 2.562
Sr 2.544 0.000 7.686
Sr 2.544 2.544 5.124
Tc 0.000 0.000 5.124
Tc 0.000 2.544 7.686
Tc 2.544 0.000 2.562
Tc 2.544 2.544 0.000
N 0.688 1.272 6.405
N 1.272 3.232 8.967
N 1.272 4.400 3.843
N 1.856 1.272 1.281
N 3.232 3.816 1.281
N 3.816 0.688 3.843
N 3.816 1.856 8.967
N 4.400 3.816 6.405
CELL_PARAMETERS angstrom
5.088 0.000 0.000
0.000 5.088 0.000
0.000 0.000 10.248
```